The following is a PBE calculation of a geometry-optimized UCd2TeO8 structure, from Alexandria.

abc: 6.917 7.287 6.749
angles: 90.00 90.00 90.00
Space group Cmmm (No. 65)
Symmetry-distinct sites (fractional):
1 U 0.000 0.000 0.000
2 Cd 0.000 0.500 0.262
3 Te 0.000 0.000 0.500
4 O 0.000 0.176 0.270
5 O 0.219 0.500 0.000
6 O 0.226 0.500 0.500

For the uncorrected formation energy, the calculation gives -20.15 eV/f.u.